No. 1
The following is a DFT calculation (meta-GGA SCAN) of a crystal of PbAuF2 relaxed with PBEsol.

Computed properties:
Total DFT energy (no corrections), eV for the cell shown: -156.355
M_tot, μB per formula unit: 0.000
Energy relative to the elements, uncorrected, eV per atom: -1.08

Structure (POSCAR):
```
PbAuF2
1.0
3.208 0.000 0.000
1.604 2.778 0.000
1.604 0.926 7.996
Pb Au F
1 1 2
direct
0.500 0.500 0.500
0.000 0.000 0.000
0.915 0.915 0.255
0.085 0.085 0.745
```

***

No. 2
The following is a DFT calculation (meta-GGA SCAN) of a crystal of Li2HgPt relaxed with PBEsol.

Computed properties:
Total DFT energy (no corrections), eV for the cell shown: -145.231
ΔH_f (0 K), eV/f.u.: -2.09
M_tot, μB per formula unit: 0.000

Structure (POSCAR):
```
Li2HgPt
1.0
2.972 0.000 0.000
0.000 4.490 0.012
0.000 -1.056 4.364
Hg Pt Li
1 1 2
direct
0.500 0.500 0.500
0.500 0.000 0.000
0.000 0.500 0.000
0.000 0.000 0.500
```

***

No. 3
The following is a DFT calculation (meta-GGA SCAN) of a crystal of RbSi3B relaxed with PBEsol.

Computed properties:
Total DFT energy (no corrections), eV for the cell shown: -52.456
M_tot, μB per formula unit: 0.001
Energy relative to the elements, uncorrected, eV per atom: 1.15

Structure (POSCAR):
```
RbSi3B
1.0
-1.991 3.683 1.634
-4.016 -1.673 -1.125
-0.314 -1.958 4.032
Si B Rb
3 1 1
direct
0.000 0.500 0.000
0.000 0.000 0.500
0.500 0.000 0.000
0.000 0.000 0.000
0.500 0.500 0.500
```

***

No. 4
The following is a DFT calculation (meta-GGA SCAN) of a crystal of Sc2BeSn relaxed with PBEsol.

Computed properties:
Total DFT energy (no corrections), eV for the cell shown: -69.931
ΔH_f (0 K), eV/f.u.: -1.18
M_tot, μB per formula unit: 0.000

Structure (POSCAR):
```
Sc2BeSn
1.0
4.728 0.000 0.000
2.364 4.094 0.000
2.364 1.365 3.860
Sc Be Sn
2 1 1
direct
0.250 0.250 0.250
0.750 0.750 0.750
0.000 0.000 0.000
0.500 0.500 0.500
```

***

No. 5
The following is a DFT calculation (meta-GGA SCAN) of a crystal of Mg2SnF2 relaxed with PBEsol.

Computed properties:
Total DFT energy (no corrections), eV for the cell shown: -63.934
M_tot, μB per formula unit: 0.000
Energy relative to the elements, uncorrected, eV per atom: -2.20

Structure (POSCAR):
```
Mg2SnF2
1.0
-0.427 -3.056 1.578
-0.841 -1.449 -3.033
6.862 0.840 -0.324
Mg Sn F
2 1 2
direct
0.341 0.341 0.682
0.659 0.659 0.318
0.000 0.000 0.000
0.250 0.750 0.500
0.750 0.250 0.500
```

***

No. 6
The following is a DFT calculation (meta-GGA SCAN) of a crystal of NiIrPt2 relaxed with PBEsol.

Computed properties:
Total DFT energy (no corrections), eV for the cell shown: -227.633
ΔH_f (0 K), eV/f.u.: 0.03
M_tot, μB per formula unit: 0.001
Excess energy over the best structure of this formula in the dataset, eV/atom: 0.099

Structure (POSCAR):
```
NiIrPt2
1.0
2.713 0.000 0.000
0.000 2.713 0.000
0.000 0.000 7.406
Ni Ir Pt
1 1 2
direct
0.500 0.500 0.743
0.000 0.000 0.519
0.000 0.000 0.981
0.500 0.500 0.257
```

***

No. 7
The following is a DFT calculation (meta-GGA SCAN) of a crystal of MgSc2Zn2 relaxed with PBEsol.

Computed properties:
Total DFT energy (no corrections), eV for the cell shown: -124.713
ΔH_f (0 K), eV/f.u.: -1.88
M_tot, μB per formula unit: 0.000

Structure (POSCAR):
```
MgSc2Zn2
1.0
-0.046 -0.498 3.538
1.422 -7.123 -0.984
7.191 1.395 0.289
Sc Zn Mg
4 4 2
direct
0.500 0.166 0.666
0.500 0.666 0.834
0.500 0.834 0.334
0.500 0.334 0.166
0.000 0.372 0.872
0.000 0.872 0.628
0.000 0.628 0.128
0.000 0.128 0.372
0.000 0.000 0.000
0.000 0.500 0.500
```

***

No. 8
The following is a DFT calculation (meta-GGA SCAN) of a crystal of Ta3PbF relaxed with PBEsol.

Computed properties:
Total DFT energy (no corrections), eV for the cell shown: -265.932
M_tot, μB per formula unit: 1.483
Energy relative to the elements, uncorrected, eV per atom: 2.63

Structure (POSCAR):
```
Ta3PbF
1.0
5.138 0.000 0.000
0.000 5.138 0.000
0.000 0.000 5.138
Pb F Ta
1 1 3
direct
0.000 0.000 0.000
0.500 0.500 0.500
0.000 0.500 0.000
0.000 0.000 0.500
0.500 0.000 0.000
```